(1)
Entry from Alexandria via LeMat-Bulk: Th2MnPd9 after structural relaxation (PBE).

Unit cell a=4.165 b=4.165 c=12.156 alpha=90.00 beta=90.00 gamma=90.00
Atoms (fractional coordinates):
Th: 0.000 0.000 0.321
Th: 0.000 0.000 0.679
Mn: 0.000 0.000 0.000
Pd: 0.500 0.500 0.000
Pd: 0.500 0.500 0.329
Pd: 0.500 0.500 0.671
Pd: 0.500 0.000 0.155
Pd: 0.500 0.000 0.500
Pd: 0.500 0.000 0.845
Pd: 0.000 0.500 0.155
Pd: 0.000 0.500 0.500
Pd: 0.000 0.500 0.845

Results
The space group is P4/mmm, No. 123. As for the total magnetization: 4.480 Bohr magnetons per cell. The calculation puts the energy of formation from the pure elements at -70.1 kJ/mol of atoms.


(2)
Entry from Alexandria via LeMat-Bulk: HfZnPd after structural relaxation (PBE).

Unit cell a=3.304 b=3.304 c=9.389 alpha=90.00 beta=89.98 gamma=90.00
Atoms (fractional coordinates):
Hf: 0.873 0.291 0.151
Hf: 0.372 0.791 0.362
Zn: 0.873 0.291 0.829
Zn: 0.372 0.791 0.683
Pd: 0.872 0.291 0.535
Pd: 0.373 0.791 0.977

Results
The space group is P4/nmm, No. 129. As for the total magnetization: 0.000 Bohr magnetons per cell. The calculation puts the energy of formation from the pure elements at -47.9 kJ/mol of atoms.


(3)
Entry from Alexandria via LeMat-Bulk: ReMoPt2 after structural relaxation (PBE).

Unit cell a=7.131 b=7.131 c=5.704 alpha=51.31 beta=51.31 gamma=90.00
Atoms (fractional coordinates):
Re: 0.000 0.000 0.000
Re: 0.750 0.250 0.500
Mo: 0.500 0.500 0.000
Mo: 0.250 0.750 0.500
Pt: 0.632 0.125 0.250
Pt: 0.118 0.625 0.250
Pt: 0.375 0.368 0.750
Pt: 0.875 0.882 0.750

Results
The space group is I-42d, No. 122. For the excess energy over the best structure of this formula in the dataset, the calculation gives 686 meV/atom. As for the total magnetization: 0.000 Bohr magnetons per cell. The calculation puts the energy of formation from the pure elements at 51.3 kJ/mol of atoms.


(4)
Entry from Alexandria via LeMat-Bulk: Y3Si8Ru3 after structural relaxation (PBE).

Unit cell a=4.140 b=7.807 c=8.440 alpha=62.88 beta=75.81 gamma=74.63
Atoms (fractional coordinates):
Y: 0.295 0.757 0.654
Y: 0.705 0.243 0.346
Y: 0.000 0.000 0.000
Si: 0.115 0.152 0.619
Si: 0.885 0.848 0.381
Si: 0.858 0.442 0.841
Si: 0.142 0.558 0.159
Si: 0.516 0.670 0.297
Si: 0.484 0.330 0.703
Si: 0.363 0.024 0.250
Si: 0.637 0.976 0.750
Ru: 0.000 0.500 0.500
Ru: 0.674 0.657 0.995
Ru: 0.326 0.343 0.005

Results
The space group is C2/m, No. 12. As for the total magnetization: 0.000 Bohr magnetons per cell. The uncorrected formation energy is -0.67 eV/atom.